Density functional theory data (PBE) for a geometry-optimized LiGa6Ni structure.

The crystal system is monoclinic.

Lattice parameters (Å, degrees): 5.390 6.793 5.375 50.81 78.15 71.04
Positions (direct):
Li 0.000 0.000 0.000
Ga 0.799 0.627 0.575
Ga 0.799 0.202 0.425
Ga 0.201 0.798 0.575
Ga 0.201 0.373 0.425
Ga 0.627 0.798 0.000
Ga 0.373 0.202 0.000
Ni 0.500 0.500 0.000

---

Density functional theory data (PBE) for a geometry-optimized PaCdAs2Rh5 structure.

The crystal system is tetragonal.

Lattice parameters (Å, degrees): 4.801 4.801 7.050 90.00 90.00 90.00
Positions (direct):
Pa 0.000 0.000 0.000
Cd 0.000 0.000 0.500
As 0.500 0.500 0.169
As 0.500 0.500 0.831
Rh 0.000 0.500 0.213
Rh 0.500 0.000 0.213
Rh 0.000 0.500 0.787
Rh 0.500 0.000 0.787
Rh 0.500 0.500 0.500

---

Density functional theory data (PBE) for a geometry-optimized Pm2ThRu structure.

The crystal system is tetragonal. The value obtained for the energy above the most stable polymorph in this dataset is 261.8 meV per atom.

Lattice parameters (Å, degrees): 3.537 3.537 8.784 90.00 90.00 90.00
Positions (direct):
Ru 0.500 0.500 0.000
Th 0.500 0.500 0.500
Pm 0.000 0.000 0.807
Pm 0.000 0.000 0.193

---

Density functional theory data (PBE) for a geometry-optimized Er2BeAl3Cu12 structure.

The crystal system is trigonal.

Lattice parameters (Å, degrees): 11.627 11.627 11.627 26.54 26.54 26.54
Positions (direct):
Er 0.644 0.644 0.644
Er 0.356 0.356 0.356
Be 0.000 0.000 0.000
Al 0.500 0.000 0.000
Al 0.000 0.500 0.000
Al 0.000 0.000 0.500
Cu 0.402 0.402 0.871
Cu 0.889 0.889 0.379
Cu 0.379 0.889 0.889
Cu 0.871 0.402 0.402
Cu 0.889 0.379 0.889
Cu 0.402 0.871 0.402
Cu 0.598 0.598 0.129
Cu 0.111 0.111 0.621
Cu 0.621 0.111 0.111
Cu 0.129 0.598 0.598
Cu 0.111 0.621 0.111
Cu 0.598 0.129 0.598

---

Number 1: E_tot -0.124 Ha/atom, ΔE_f -0.149 eV per atom. Number 2: E_tot -0.242 Ha/atom, ΔE_f -0.309 eV per atom. Number 3: E_tot -0.241 Ha/atom, ΔE_f -0.022 eV per atom. Number 4: E_tot -0.148 Ha/atom, ΔE_f 0.049 eV per atom.